VASP calculation (PBE-GGA) on a geometry-optimized Hg2PbN structure.

The structure in extended XYZ format:
```
16
Lattice="6.598 0.000 0.000 0.000 6.598 0.000 0.000 0.000 9.378" Properties=species:S:1:pos:R:3 pbc="T T T"
Hg 0.891 1.650 1.172
Hg 1.650 4.190 3.517
Hg 1.650 5.707 8.206
Hg 2.408 1.650 5.862
Hg 4.190 4.949 5.862
Hg 4.949 0.891 8.206
Hg 4.949 2.408 3.517
Hg 5.707 4.949 1.172
Pb 0.000 0.000 4.689
Pb 0.000 3.299 7.034
Pb 3.299 0.000 2.345
Pb 3.299 3.299 0.000
N 0.000 0.000 0.000
N 0.000 3.299 2.345
N 3.299 0.000 7.034
N 3.299 3.299 4.689
```

Output
Final energy (Ry per atom): -0.17717
Offset from the most stable computed form (eV/atom): 0.0000
Total magnetization (μB/cell): 0.00
Formation energy from raw total energies (eV/atom): 0.749